Record 1
DFT (PBE) results for an optimized crystal structure of SmGe2Pd4.

Cell lengths 7.9257, 7.9257, 3.9276 Å; angles 90.00, 90.00, 90.00 degrees
Space group P4_2/mnm (No. 136)
Symmetry-distinct sites (fractional):
Sm (0.0000, 0.0000, 0.0000) x2
Ge (0.2213, 0.2213, 0.5000) x4
Pd (0.0814, 0.6690, 0.5000) x8

Summary:
As for the relative energy among the computed polymorphs: 0.0 meV/atom. Its crystal system is tetragonal. The calculated formation energy is -728.3 meV per atom. For the total moment, the calculation gives 0.00 μB per atom. For the density of states at the Fermi level, the calculation gives 9.72 states/eV per cell. The calculated volume comes out at 17.62 Å³/atom.

Record 2
DFT (PBE) results for an optimized crystal structure of ErTh2MoC4.

Cell lengths 3.5871, 12.0343, 12.9722 Å; angles 90.00, 90.00, 90.00 degrees
Space group Cmcm (No. 63)
Symmetry-distinct sites (fractional):
Er (0.0000, 0.1107, 0.2500) x4
Th (0.0000, 0.3657, 0.0378) x8
Mo (0.0000, 0.1625, 0.7500) x4
C (0.0000, 0.0000, 0.0000) x4
C (0.0000, 0.2685, 0.6370) x8
C (0.0000, 0.4285, 0.2500) x4

Summary:
Its crystal system is orthorhombic. The calculated formation energy is 7.8 meV per atom. For the total moment, the calculation gives 0.00 μB per atom. For the density of states at the Fermi level, the calculation gives 13.82 states/eV per cell. The calculated volume comes out at 17.50 Å³/atom.

Record 3
DFT (PBE) results for an optimized crystal structure of CaSbAu.

Cell lengths 4.7321, 4.7321, 25.7130 Å; angles 90.00, 90.00, 120.00 degrees
Space group R-3m (No. 166, hexagonal axes)
Symmetry-distinct sites (fractional):
Ca (0.0000, 0.0000, 0.0000) x3
Ca (0.0000, 0.0000, 0.5000) x3
Sb (0.0000, 0.0000, 0.2489) x6
Au (0.0000, 0.0000, 0.1115) x6

Summary:
Its crystal system is trigonal. For the total moment, the calculation gives 0.00 μB per atom. For the density of states at the Fermi level, the calculation gives 1.87 states/eV per cell. The calculated volume comes out at 27.70 Å³/atom. The value obtained for the uncorrected formation energy is -732 meV/atom.

Record 4
DFT (PBE) results for an optimized crystal structure of MgCdBi2.

Cell lengths 4.9721, 4.9721, 4.4403 Å; angles 90.00, 90.00, 90.00 degrees
Space group P4/mmm (No. 123)
Symmetry-distinct sites (fractional):
Mg (0.0000, 0.0000, 0.0000) x1
Cd (0.5000, 0.5000, 0.0000) x1
Bi (0.0000, 0.5000, 0.5000) x2

Summary:
As for the relative energy among the computed polymorphs: 13.4 meV/atom. Its crystal system is tetragonal. The calculated formation energy is 3.6 meV per atom. For the total moment, the calculation gives 0.00 μB per atom. For the density of states at the Fermi level, the calculation gives 1.45 states/eV per cell. The calculated volume comes out at 27.44 Å³/atom.

Record 5
DFT (PBE) results for an optimized crystal structure of YPb.

Cell lengths 11.6614, 4.5545, 7.0510 Å; angles 90.00, 107.94, 90.00 degrees
Space group Cm (No. 8)
Symmetry-distinct sites (fractional):
Y (0.0000, 0.0000, 0.0000) x2
Y (0.0514, 0.0000, 0.5345) x2
Y (0.3184, 0.0000, 0.1770) x2
Pb (0.1489, 0.5000, 0.3151) x2
Pb (0.1914, 0.5000, 0.8589) x2
Pb (0.3885, 0.0000, 0.6780) x2

Summary:
Its crystal system is monoclinic. The calculated formation energy is -383.9 meV per atom. For the total moment, the calculation gives 0.05 μB per atom. For the density of states at the Fermi level, the calculation gives 10.44 states/eV per cell. The calculated volume comes out at 29.69 Å³/atom.

Record 6
DFT (PBE) results for an optimized crystal structure of Sc2Al9Fe3.

Cell lengths 12.7170, 7.2823, 10.1113 Å; angles 90.00, 114.69, 90.00 degrees
Space group C2/c (No. 15)
Symmetry-distinct sites (fractional):
Sc (0.1697, 0.0823, 0.2493) x8
Al (0.0000, 0.3508, 0.2500) x4
Al (0.0593, 0.0797, 0.9279) x8
Al (0.1001, 0.4145, 0.0500) x8
Al (0.1123, 0.3064, 0.7482) x8
Al (0.2274, 0.4145, 0.4311) x8
Fe (0.0863, 0.2421, 0.5010) x8
Fe (0.2500, 0.2500, 0.0000) x4

Summary:
Its crystal system is monoclinic. The calculated formation energy is -420.7 meV per atom. For the total moment, the calculation gives 0.10 μB per atom. For the density of states at the Fermi level, the calculation gives 43.73 states/eV per cell. The calculated volume comes out at 15.19 Å³/atom.

Record 7
DFT (PBE) results for an optimized crystal structure of Nd3Al2Ga.

Cell lengths 5.2548, 5.2548, 12.9224 Å; angles 90.00, 90.00, 120.00 degrees
Space group P-3m1 (No. 164)
Symmetry-distinct sites (fractional):
Nd (0.0000, 0.0000, 0.2487) x2
Nd (0.3333, 0.6667, 0.4143) x2
Nd (0.3333, 0.6667, 0.9155) x2
Al (0.0000, 0.0000, 0.0000) x1
Al (0.0000, 0.0000, 0.5000) x1
Al (0.3333, 0.6667, 0.6645) x2
Ga (0.3333, 0.6667, 0.1652) x2

Summary:
Its crystal system is trigonal. The calculated formation energy is -413.8 meV per atom. For the total moment, the calculation gives 0.00 μB per atom. For the density of states at the Fermi level, the calculation gives 5.15 states/eV per cell. The calculated volume comes out at 25.75 Å³/atom.

Record 8
DFT (PBE) results for an optimized crystal structure of PmDy4Tm6.

Cell lengths 7.6628, 7.6628, 12.7902 Å; angles 90.00, 90.00, 90.00 degrees
Space group I-42m (No. 121)
Symmetry-distinct sites (fractional):
Pm (0.0000, 0.0000, 0.0000) x2
Dy (0.1676, 0.1676, 0.4251) x8
Tm (0.0000, 0.5000, 0.0000) x4
Tm (0.2477, 0.2477, 0.6845) x8

Summary:
As for the relative energy among the computed polymorphs: 347.5 meV/atom. Its crystal system is tetragonal. The calculated formation energy is 467.6 meV per atom. For the total moment, the calculation gives 0.00 μB per atom. For the density of states at the Fermi level, the calculation gives 34.22 states/eV per cell. The calculated volume comes out at 34.14 Å³/atom.

Record 9
DFT (PBE) results for an optimized crystal structure of CaCuCl2.

Cell lengths 3.9561, 3.9561, 10.6876 Å; angles 90.00, 90.00, 90.00 degrees
Space group I-4m2 (No. 119)
Symmetry-distinct sites (fractional):
Ca (0.0000, 0.0000, 0.0000) x2
Cu (0.0000, 0.5000, 0.2500) x2
Cl (0.0000, 0.0000, 0.5000) x2
Cl (0.0000, 0.5000, 0.7500) x2

Summary:
As for the relative energy among the computed polymorphs: 159.0 meV/atom. Its crystal system is tetragonal. For the total moment, the calculation gives 0.00 μB per atom. For the density of states at the Fermi level, the calculation gives 2.65 states/eV per cell. The calculated volume comes out at 20.91 Å³/atom. The value obtained for the uncorrected formation energy is -923 meV/atom.

Record 10
DFT (PBE) results for an optimized crystal structure of Dy6Ho12In.

Cell lengths 11.7630, 11.7630, 14.8815 Å; angles 90.00, 90.00, 120.00 degrees
Space group R-3 (No. 148, hexagonal axes)
Symmetry-distinct sites (fractional):
Dy (0.0173, 0.4270, 0.1852) x18
Ho (0.0005, 0.1747, 0.3135) x18
Ho (0.0448, 0.8499, 0.9156) x18
In (0.0000, 0.0000, 0.5000) x3

Summary:
Its crystal system is trigonal. The calculated formation energy is 74.3 meV per atom. For the total moment, the calculation gives 0.00 μB per atom. For the density of states at the Fermi level, the calculation gives 80.69 states/eV per cell. The calculated volume comes out at 31.29 Å³/atom.

Record 11
DFT (PBE) results for an optimized crystal structure of NaRe3H.

Cell lengths 4.0122, 4.0122, 4.0122 Å; angles 90.00, 90.00, 90.00 degrees
Space group Pm-3m (No. 221)
Symmetry-distinct sites (fractional):
Na (0.0000, 0.0000, 0.0000) x1
Re (0.0000, 0.5000, 0.5000) x3
H (0.5000, 0.5000, 0.5000) x1

Summary:
As for the relative energy among the computed polymorphs: 0.0 meV/atom. Its crystal system is cubic. For the total moment, the calculation gives 0.00 μB per atom. For the density of states at the Fermi level, the calculation gives 4.81 states/eV per cell. The calculated volume comes out at 12.92 Å³/atom.

Record 12
DFT (PBE) results for an optimized crystal structure of BaAgPb2.

Cell lengths 4.9652, 4.9652, 5.1216 Å; angles 90.00, 90.00, 90.00 degrees
Space group P4/mmm (No. 123)
Symmetry-distinct sites (fractional):
Ba (0.0000, 0.0000, 0.0000) x1
Ag (0.5000, 0.5000, 0.0000) x1
Pb (0.0000, 0.5000, 0.5000) x2

Summary:
As for the relative energy among the computed polymorphs: 161.5 meV/atom. Its crystal system is tetragonal. The calculated formation energy is -172.0 meV per atom. For the total moment, the calculation gives 0.00 μB per atom. For the density of states at the Fermi level, the calculation gives 3.23 states/eV per cell. The calculated volume comes out at 31.57 Å³/atom.